The following is a DFT calculation (PBE+U) of crystalline SiW2F2 at its relaxed geometry.

Calculated values
DOS(E_F): 2.9 states/eV per cell
E: -0.341 Ry per atom
Volume: 177 Å³/cell
Total moment: 1.188 μB/atom
Symmetry: P4/mbm (127)
Distance to the lowest polymorph of the same formula: 538.3 meV per atom

```
SiW2F2
1.0
7.421 0.000 0.000
0.000 7.421 0.000
0.000 0.000 3.217
Si W F
2 4 4
direct
0.000 0.000 0.000
0.500 0.500 0.000
0.347 0.847 0.000
0.847 0.653 0.000
0.653 0.153 0.000
0.153 0.347 0.000
0.212 0.712 0.500
0.712 0.788 0.500
0.788 0.288 0.500
0.288 0.212 0.500
```